# CrCdGa2Pt PBE relaxed
# - ΔH_f (0 K) (meV per atom) = 1083
# - spin magnetization (Bohr magnetons per cell) = 4.45
# - D(E_F) (states/eV per cell) = 3.0
data_CrCdGa2Pt
_chemical_formula_sum 'Cr1 Cd1 Ga2 Pt1'
_cell_length_a 4.8557
_cell_length_b 4.8557
_cell_length_c 5.0902
_cell_angle_alpha 90.00
_cell_angle_beta 90.00
_cell_angle_gamma 90.00
_space_group_name_H-M_alt 'P 4/m m m'
_space_group_IT_number 123
_space_group_name_Hall '-P 4 2'
loop_
_atom_site_label
_atom_site_fract_x
_atom_site_fract_y
_atom_site_fract_z
Cr1 0.0000 0.0000 0.0000
Cd1 0.0000 0.0000 0.5000
Ga1 0.0000 0.5000 0.5000
Pt1 0.5000 0.5000 0.0000

=====

# Cr2CdGaRu PBE relaxed
# - ΔH_f (0 K) (meV per atom) = 764
# - spin magnetization (Bohr magnetons per cell) = 6.49
# - D(E_F) (states/eV per cell) = 4.1
data_Cr2CdGaRu
_chemical_formula_sum 'Cr2 Cd1 Ga1 Ru1'
_cell_length_a 4.7047
_cell_length_b 4.7047
_cell_length_c 4.7879
_cell_angle_alpha 90.00
_cell_angle_beta 90.00
_cell_angle_gamma 90.00
_space_group_name_H-M_alt 'P 4/m m m'
_space_group_IT_number 123
_space_group_name_Hall '-P 4 2'
loop_
_atom_site_label
_atom_site_fract_x
_atom_site_fract_y
_atom_site_fract_z
Cr1 0.0000 0.5000 0.0000
Cd1 0.0000 0.0000 0.5000
Ga1 0.5000 0.5000 0.5000
Ru1 0.5000 0.5000 0.0000

=====

# Cr2CdGaSb PBE relaxed
# - formation energy (no corrections) (meV per atom) = 1039
# - spin magnetization (Bohr magnetons per cell) = 8.45
# - D(E_F) (states/eV per cell) = 3.7
data_Cr2CdGaSb
_chemical_formula_sum 'Cr2 Cd1 Ga1 Sb1'
_cell_length_a 5.1531
_cell_length_b 5.1531
_cell_length_c 4.8331
_cell_angle_alpha 90.00
_cell_angle_beta 90.00
_cell_angle_gamma 90.00
_space_group_name_H-M_alt 'P 4/m m m'
_space_group_IT_number 123
_space_group_name_Hall '-P 4 2'
loop_
_atom_site_label
_atom_site_fract_x
_atom_site_fract_y
_atom_site_fract_z
Cr1 0.0000 0.5000 0.0000
Cd1 0.0000 0.0000 0.0000
Ga1 0.0000 0.0000 0.5000
Sb1 0.5000 0.5000 0.5000

=====

# TaCr2CdGa PBE relaxed
# - ΔH_f (0 K) (meV per atom) = 1311
# - spin magnetization (Bohr magnetons per cell) = 3.98
# - D(E_F) (states/eV per cell) = 3.8
data_TaCr2CdGa
_chemical_formula_sum 'Ta1 Cr2 Cd1 Ga1'
_cell_length_a 4.5601
_cell_length_b 4.5601
_cell_length_c 4.6488
_cell_angle_alpha 90.00
_cell_angle_beta 90.00
_cell_angle_gamma 90.00
_space_group_name_H-M_alt 'P 4/m m m'
_space_group_IT_number 123
_space_group_name_Hall '-P 4 2'
loop_
_atom_site_label
_atom_site_fract_x
_atom_site_fract_y
_atom_site_fract_z
Ta1 0.0000 0.0000 0.0000
Cr1 0.0000 0.5000 0.5000
Cd1 0.5000 0.5000 0.0000
Ga1 0.5000 0.5000 0.5000

=====

# CrCdGaTc2 PBE relaxed
# - ΔH_f (0 K) (meV per atom) = 2427
# - spin magnetization (Bohr magnetons per cell) = 0.30
# - D(E_F) (states/eV per cell) = 13.0
data_CrCdGaTc2
_chemical_formula_sum 'Cr1 Cd1 Ga1 Tc2'
_cell_length_a 4.8506
_cell_length_b 4.8506
_cell_length_c 4.6148
_cell_angle_alpha 90.00
_cell_angle_beta 90.00
_cell_angle_gamma 90.00
_space_group_name_H-M_alt 'P 4/m m m'
_space_group_IT_number 123
_space_group_name_Hall '-P 4 2'
loop_
_atom_site_label
_atom_site_fract_x
_atom_site_fract_y
_atom_site_fract_z
Cr1 0.0000 0.0000 0.0000
Cd1 0.0000 0.0000 0.5000
Ga1 0.5000 0.5000 0.0000
Tc1 0.0000 0.5000 0.5000

=====

# Cr2CdGaTc PBE relaxed
# - ΔH_f (0 K) (meV per atom) = 1779
# - spin magnetization (Bohr magnetons per cell) = 6.08
# - D(E_F) (states/eV per cell) = 6.0
data_Cr2CdGaTc
_chemical_formula_sum 'Cr2 Cd1 Ga1 Tc1'
_cell_length_a 5.0261
_cell_length_b 5.0261
_cell_length_c 5.0467
_cell_angle_alpha 90.00
_cell_angle_beta 90.00
_cell_angle_gamma 90.00
_space_group_name_H-M_alt 'P 4/m m m'
_space_group_IT_number 123
_space_group_name_Hall '-P 4 2'
loop_
_atom_site_label
_atom_site_fract_x
_atom_site_fract_y
_atom_site_fract_z
Cr1 0.0000 0.5000 0.0000
Cd1 0.0000 0.0000 0.0000
Ga1 0.5000 0.5000 0.5000
Tc1 0.0000 0.0000 0.5000